Density functional theory data (PBE with a Hubbard U) for a relaxed structure of Na2CoO3.

Calculated total energy   -4.956 eV/atom
V   14.346 Å³/atom

Cell: 5.0694 11.2860 6.0179 Å, 90.00 90.41 90.00°
Closest atoms and distances in Å follow each position.
Element x y z (fractional)
Na1 0.0000 0.1603 0.0000  4 O 2.29-2.39
Na2 0.0000 0.8397 0.0000  4 O 2.29-2.39
Na3 0.0058 0.3379 0.4972  4 O 2.31-2.45
Na4 0.0058 0.6621 0.4972  4 O 2.31-2.45
Na5 0.5043 0.1642 0.6429  4 O 2.27-2.45
Na6 0.5043 0.8358 0.6429  4 O 2.27-2.45
Na7 0.5075 0.3343 0.1288  4 O 2.35-2.45
Na8 0.5075 0.6657 0.1288  4 O 2.35-2.45
Co1 0.4696 0.0000 0.1641  4 O 1.77-1.85
Co2 0.4801 0.5000 0.6328  4 O 1.73-1.88
Co3 0.9797 0.0000 0.5076  4 O 1.72-1.91
Co4 0.9816 0.5000 0.9962  4 O 1.73-1.87
O1 0.0244 0.1419 0.6070  1 Co 1.72
O2 0.0244 0.8581 0.6070  1 Co 1.72
O3 0.0278 0.3594 0.1044  1 Co 1.73
O4 0.0278 0.6406 0.1044  1 Co 1.73
O5 0.1107 0.0000 0.2147  2 Co 1.85-1.89
O6 0.1325 0.5000 0.7127  2 Co 1.83-1.87
O7 0.5259 0.3600 0.5232  1 Co 1.73
O8 0.5259 0.6400 0.5232  1 Co 1.73
O9 0.5325 0.1347 0.0227  1 Co 1.77
O10 0.5325 0.8653 0.0227  1 Co 1.77
O11 0.6091 0.0000 0.4440  2 Co 1.82-1.91
O12 0.6325 0.5000 0.9177  2 Co 1.83-1.88